ZrCd2TeIr after structural relaxation, computed with GGA-PBE.

SG ... No. 123
ρ ... 6.11 g/cm3
Energy relative to the elements, uncorrected ... 1.3562 eV per atom

Unit cell a=5.676 b=5.676 c=5.368 alpha=90.00 beta=90.00 gamma=90.00
Atoms (fractional coordinates):
Zr 0.000 0.000 0.000
Cd 0.000 0.500 0.000
Cd 0.500 0.000 0.000
Te 0.000 0.000 0.500
Ir 0.500 0.500 0.500